Entry 1:
## KBa2Os (PBE)

Data for crystalline KBa2Os at its relaxed geometry.

a = 4.6105 Å, b = 8.2633 Å, c = 8.2624 Å
α = 40.82°, β = 90.00°, γ = 90.00°
With the nearest neighbours (Å) after each atom.
Fractional coordinates of all 4 atoms:
Os1 0.5000 0.7732 0.7734  4 Ba 2.92-2.96
K1 0.0000 0.6075 0.6077  2 Os 3.45
Ba1 0.0000 0.8887 0.8886  2 Os 2.92
Ba2 0.5000 0.2305 0.2303  2 Os 2.96

DFT total energy   -3.29 eV per atom
ΔE to the lowest computed polymorph   205.7 meV/atom



Entry 2:
## ScTaMn2Pt (PBE)

Data for crystalline ScTaMn2Pt at its relaxed geometry.

a = 4.3109 Å, b = 4.9061 Å, c = 4.3109 Å
α = 90.00°, β = 90.00°, γ = 90.00°
With the nearest neighbours (Å) after each atom.
Fractional coordinates of all 5 atoms:
Sc1 0.0000 0.0000 0.0000  4 Mn 2.16
Ta1 0.0000 0.5000 0.0000  2 Sc 2.45
Pt1 0.5000 0.5000 0.5000  4 Ta 3.05, 8 Mn 3.27
Mn1 0.0000 0.0000 0.5000  2 Sc 2.16
Mn2 0.5000 0.0000 0.0000  2 Sc 2.16

DFT total energy   -7.02 eV per atom



Entry 3:
## TiZnAgBi2 (PBE)

Data for crystalline TiZnAgBi2 at its relaxed geometry.

a = 5.3565 Å, b = 5.0881 Å, c = 5.3565 Å
α = 90.00°, β = 90.00°, γ = 90.00°
With the nearest neighbours (Å) after each atom.
Fractional coordinates of all 5 atoms:
Bi1 0.5000 0.0000 0.0000  2 Ti 2.68
Ag1 0.5000 0.5000 0.5000  8 Bi 3.69, 4 Zn 3.79
Ti1 0.0000 0.0000 0.0000  2 Zn 2.54, 4 Bi 2.68
Bi2 0.0000 0.0000 0.5000  2 Ti 2.68
Zn1 0.0000 0.5000 0.0000  2 Ti 2.54

DFT total energy   -3.50 eV per atom



The records above give, respectively, DFT formation energy values of 751; 1492; 452 meV/atom.
The records above give, respectively, total moment values of 0.00; 4.92; 0.00 μB/f.u..